Density functional theory data (GGA-PBE) for crystalline PmH2PdO4 at its relaxed geometry.

Cell lengths 4.930, 4.809, 4.809 Å; angles 69.30, 59.17, 59.17 degrees
Last column: magnetic moment on the atom in μB.
Sites, in units of the cell vectors:
Pd 0.500 0.500 0.500  0.46
H 0.802 0.698 0.698  0.00
O 0.592 0.582 0.826  0.11
O 0.000 0.418 0.174  0.11
Pm 0.000 0.000 0.000  0.00
H 0.198 0.302 0.302  0.00
O 0.000 0.826 0.582  0.11
O 0.408 0.174 0.418  0.11

Properties
Total DFT energy (no corrections) = -47.42 eV for the cell shown

=====

Density functional theory data (GGA-PBE) for crystalline Dy3Ni2Ge4 at its relaxed geometry.

Cell lengths 4.170, 5.690, 8.071 Å; angles 105.49, 90.00, 111.50 degrees
Sites, in units of the cell vectors:
Ni 0.308 0.616 0.631
Ge 0.090 0.181 0.399
Ge 0.292 0.584 0.924
Dy 0.000 0.000 0.000
Dy 0.374 0.749 0.307
Ni 0.692 0.384 0.369
Ge 0.910 0.819 0.601
Ge 0.708 0.416 0.076
Dy 0.626 0.251 0.693

Properties
Energy above the lowest structure with this stoichiometry = 0 meV/atom
Energy of formation from the pure elements = -780 meV/atom

=====

Density functional theory data (GGA-PBE) for crystalline ErMgHg at its relaxed geometry.

Cell lengths 4.332, 4.332, 7.850 Å; angles 90.00, 90.00, 90.00 degrees
Sites, in units of the cell vectors:
Mg 0.000 0.000 0.500
Hg 0.500 0.000 0.760
Mg 0.500 0.500 0.500
Hg 0.000 0.500 0.240
Er 0.000 0.500 0.851
Er 0.500 0.000 0.149

Properties
Energy of formation from the pure elements = -337 meV/atom

=====

Density functional theory data (GGA-PBE) for crystalline K4Np3Te8Pb at its relaxed geometry.

Cell lengths 9.232, 9.738, 9.235 Å; angles 118.32, 119.99, 90.00 degrees
Last column: magnetic moment on the atom in μB.
Sites, in units of the cell vectors:
Te 0.757 0.291 0.034  -0.08
K 0.500 0.000 0.000  0.00
Np 0.500 0.500 0.000  3.86
K 0.000 0.000 0.000  0.00
Te 0.736 0.708 0.472  -0.08
Te 0.277 0.291 0.034  -0.08
K 0.500 0.000 0.500  0.00
Te 0.264 0.292 0.528  -0.08
Np 0.500 0.500 0.500  3.86
Np 0.000 0.500 0.500  3.86
Te 0.243 0.709 0.966  -0.08
K 0.000 0.000 0.500  0.00
Pb 0.000 0.500 0.000  0.00
Te 0.757 0.290 0.513  -0.07
Te 0.723 0.709 0.966  -0.08
Te 0.243 0.710 0.487  -0.07

Properties
Uncorrected formation energy = -0.853 eV/atom

=====

Density functional theory data (GGA-PBE) for crystalline Tb3Sm2Ho6Zr at its relaxed geometry.

Cell lengths 6.094, 6.094, 11.642 Å; angles 94.98, 94.98, 119.93 degrees
Sites, in units of the cell vectors:
Sm 0.667 0.333 0.000
Ho 0.408 0.082 0.246
Zr 0.000 0.000 0.000
Ho 0.082 0.408 0.246
Tb 0.500 0.500 0.500
Tb 0.834 0.166 0.500
Ho 0.756 0.756 0.246
Ho 0.244 0.244 0.754
Sm 0.333 0.667 0.000
Ho 0.592 0.918 0.754
Ho 0.918 0.592 0.754
Tb 0.166 0.834 0.500

Properties
Energy of formation from the pure elements = 48 meV/atom

=====

Density functional theory data (GGA-PBE) for crystalline TeAsPt3 at its relaxed geometry.

Cell lengths 4.739, 4.739, 4.739 Å; angles 90.00, 90.00, 90.00 degrees
Sites, in units of the cell vectors:
Te 0.500 0.500 0.500
Pt 0.500 0.000 0.000
Pt 0.000 0.000 0.500
Pt 0.000 0.500 0.000
As 0.000 0.000 0.000

Properties
Energy above the lowest structure with this stoichiometry = 0 meV/atom
Uncorrected formation energy = 0.473 eV/atom

=====

Density functional theory data (GGA-PBE) for crystalline Cr8Hg at its relaxed geometry.

Cell lengths 5.652, 5.652, 5.652 Å; angles 97.92, 97.92, 136.43 degrees
Sites, in units of the cell vectors:
Cr 0.673 0.673 0.346
Cr 0.650 0.000 0.650
Cr 0.673 0.327 0.000
Cr 0.000 0.350 0.350
Cr 0.000 0.650 0.650
Cr 0.350 0.000 0.350
Cr 0.327 0.673 0.000
Cr 0.327 0.327 0.654
Hg 0.000 0.000 0.000

Properties
Energy of formation from the pure elements = 505 meV/atom

=====

Density functional theory data (GGA-PBE) for crystalline CaCr3Sn at its relaxed geometry.

Cell lengths 5.234, 5.234, 5.234 Å; angles 90.00, 90.00, 90.00 degrees
Last column: magnetic moment on the atom in μB.
Sites, in units of the cell vectors:
Cr 0.000 0.500 0.000  3.92
Cr 0.000 0.000 0.500  3.95
Ca 0.500 0.500 0.500  0.07
Cr 0.500 0.000 0.000  3.79
Sn 0.000 0.000 0.000  -0.12

Properties
Energy above the lowest structure with this stoichiometry = 0 meV/atom
Energy of formation from the pure elements = 1016 meV/atom